Density functional theory data (meta-GGA SCAN) for a crystal of Cr3SiRh relaxed with PBEsol.

Computed properties:
Formation energy from raw total energies (eV per atom): 1.026
D(E_F) (states/eV/cell): 4.34
Total moment (μB/atom): 0.962
Symmetry: Pm-3m

Unit cell a=4.169 b=4.169 c=4.169 alpha=90.00 beta=90.00 gamma=90.00
Atoms (fractional coordinates):
Cr  0.000  0.000  0.500
Cr  0.000  0.500  0.000
Cr  0.500  0.000  0.000
Si  0.000  0.000  0.000
Rh  0.500  0.500  0.500